# LaScP2, optimized geometry, DFT GGA-PBE
data_LaScP2
_chemical_formula_sum 'La1 Sc1 P2'
_symmetry_space_group_name_H-M 'P 4/m m m'
_symmetry_Int_Tables_number 123
_symmetry_space_group_name_Hall '-P 4 2'
_cell_length_a 3.6076
_cell_length_b 3.6076
_cell_length_c 6.1407
_cell_angle_alpha 90.00
_cell_angle_beta 90.00
_cell_angle_gamma 90.00
loop_
_atom_site_label
_atom_site_type_symbol
_atom_site_fract_x
_atom_site_fract_y
_atom_site_fract_z
_atom_site_occupancy
La1 La 0.0000 0.0000 0.0000 1
Sc1 Sc 0.0000 0.0000 0.5000 1
P1 P 0.5000 0.5000 0.2975 1
# - Uncorrected energy: -6.539 eV/atom
# - Total magnetization: 0.001 Bohr magnetons per cell
# - Relative energy among the computed polymorphs: 1.83 eV/f.u.

---

# PmSiAu, optimized geometry, DFT GGA-PBE
data_PmSiAu
_chemical_formula_sum 'Pm2 Si2 Au2'
_symmetry_space_group_name_H-M 'P -1'
_symmetry_Int_Tables_number 2
_symmetry_space_group_name_Hall '-P 1'
_cell_length_a 4.3880
_cell_length_b 4.4284
_cell_length_c 8.9835
_cell_angle_alpha 95.17
_cell_angle_beta 90.17
_cell_angle_gamma 119.58
loop_
_atom_site_label
_atom_site_type_symbol
_atom_site_fract_x
_atom_site_fract_y
_atom_site_fract_z
_atom_site_occupancy
Pm1 Pm 0.1434 0.2830 0.3210 1
Si1 Si 0.4499 0.8979 0.1268 1
Au1 Au 0.2176 0.4377 0.8754 1
# - Raw formation energy: -7.896 kcal/mol of atoms
# - Uncorrected energy: -4.826 eV/atom
# - Total magnetization: 0.000 Bohr magnetons per cell
# - Relative energy among the computed polymorphs: 1.43 eV/f.u.

---

# BP, optimized geometry, DFT GGA-PBE
data_BP
_chemical_formula_sum 'B4 P4'
_symmetry_space_group_name_H-M 'F -4 3 m'
_symmetry_Int_Tables_number 216
_symmetry_space_group_name_Hall 'F -4 2 3'
_cell_length_a 4.5470
_cell_length_b 4.5470
_cell_length_c 4.5470
_cell_angle_alpha 90.00
_cell_angle_beta 90.00
_cell_angle_gamma 90.00
loop_
_atom_site_label
_atom_site_type_symbol
_atom_site_fract_x
_atom_site_fract_y
_atom_site_fract_z
_atom_site_occupancy
B1 B 0.0000 0.0000 0.0000 1
P1 P 0.2500 0.2500 0.2500 1
# - Uncorrected energy: -6.452 eV/atom
# - Total magnetization: 0.000 Bohr magnetons per cell

---

# BaBe2Sb, optimized geometry, DFT GGA-PBE
data_BaBe2Sb
_chemical_formula_sum 'Ba1 Be2 Sb1'
_symmetry_space_group_name_H-M 'P 1 m 1'
_symmetry_Int_Tables_number 6
_symmetry_space_group_name_Hall 'P -2y'
_cell_length_a 4.1286
_cell_length_b 3.9953
_cell_length_c 6.0122
_cell_angle_alpha 90.00
_cell_angle_beta 107.08
_cell_angle_gamma 90.00
loop_
_atom_site_label
_atom_site_type_symbol
_atom_site_fract_x
_atom_site_fract_y
_atom_site_fract_z
_atom_site_occupancy
Ba1 Ba 0.0000 0.0000 0.0000 1
Be1 Be 0.3120 0.5000 0.6715 1
Be2 Be 0.3747 0.0000 0.5776 1
Sb1 Sb 0.7056 0.5000 0.4332 1
# - Raw formation energy: 0.677 kcal/mol of atoms
# - Uncorrected energy: -3.345 eV/atom
# - Total magnetization: 0.000 Bohr magnetons per cell

---

# TbCdGa2Pt2, optimized geometry, DFT GGA-PBE
data_TbCdGa2Pt2
_chemical_formula_sum 'Tb1 Cd1 Ga2 Pt2'
_symmetry_space_group_name_H-M 'P -3 m 1'
_symmetry_Int_Tables_number 164
_symmetry_space_group_name_Hall '-P 3 2"'
_cell_length_a 4.4355
_cell_length_b 4.4355
_cell_length_c 6.6509
_cell_angle_alpha 90.00
_cell_angle_beta 90.00
_cell_angle_gamma 120.00
loop_
_atom_site_label
_atom_site_type_symbol
_atom_site_fract_x
_atom_site_fract_y
_atom_site_fract_z
_atom_site_occupancy
Tb1 Tb 0.0000 0.0000 0.0000 1
Cd1 Cd 0.0000 0.0000 0.5000 1
Ga1 Ga 0.3333 0.6667 0.2781 1
Pt1 Pt 0.3333 0.6667 0.7284 1
# - Uncorrected energy: -4.712 eV/atom
# - Total magnetization: 0.000 Bohr magnetons per cell

---

# LiB2H, optimized geometry, DFT GGA-PBE
data_LiB2H
_chemical_formula_sum 'Li4 B8 H4'
_symmetry_space_group_name_H-M 'C 1 m 1'
_symmetry_Int_Tables_number 8
_symmetry_space_group_name_Hall 'C -2y'
_cell_length_a 8.4373
_cell_length_b 2.9534
_cell_length_c 5.7136
_cell_angle_alpha 90.00
_cell_angle_beta 124.71
_cell_angle_gamma 90.00
loop_
_atom_site_label
_atom_site_type_symbol
_atom_site_fract_x
_atom_site_fract_y
_atom_site_fract_z
_atom_site_occupancy
Li1 Li 0.0000 0.0000 0.0000 1
Li2 Li 0.1347 0.0000 0.6583 1
B1 B 0.1738 0.5000 0.3584 1
B2 B 0.3204 0.5000 0.2229 1
B3 B 0.3305 0.0000 0.4193 1
B4 B 0.4225 0.0000 0.2127 1
H1 H 0.2485 0.5000 0.6205 1
H2 H 0.4642 0.0000 0.6849 1
# - Uncorrected energy: -4.717 eV/atom
# - Total magnetization: 0.000 Bohr magnetons per cell
# - Relative energy among the computed polymorphs: 0.51 eV/f.u.

---

# Fe2Mo3N, optimized geometry, DFT GGA-PBE
data_Fe2Mo3N
_chemical_formula_sum 'Fe8 Mo12 N4'
_symmetry_space_group_name_H-M 'P 41 3 2'
_symmetry_Int_Tables_number 213
_symmetry_space_group_name_Hall 'P 4bd 2ab 3'
_cell_length_a 6.7072
_cell_length_b 6.7072
_cell_length_c 6.7072
_cell_angle_alpha 90.00
_cell_angle_beta 90.00
_cell_angle_gamma 90.00
loop_
_atom_site_label
_atom_site_type_symbol
_atom_site_fract_x
_atom_site_fract_y
_atom_site_fract_z
_atom_site_occupancy
Fe1 Fe 0.0689 0.0689 0.0689 1
Mo1 Mo 0.0478 0.8750 0.7022 1
N1 N 0.1250 0.6250 0.8750 1
# - Raw formation energy: -3.570 kcal/mol of atoms
# - Uncorrected energy: -9.779 eV/atom
# - Total magnetization: 15.973 Bohr magnetons per cell

---

# NiHg2Mo, optimized geometry, DFT GGA-PBE
data_NiHg2Mo
_chemical_formula_sum 'Ni4 Hg8 Mo4'
_symmetry_space_group_name_H-M 'F m -3 m'
_symmetry_Int_Tables_number 225
_symmetry_space_group_name_Hall '-F 4 2 3'
_cell_length_a 6.5471
_cell_length_b 6.5471
_cell_length_c 6.5471
_cell_angle_alpha 90.00
_cell_angle_beta 90.00
_cell_angle_gamma 90.00
loop_
_atom_site_label
_atom_site_type_symbol
_atom_site_fract_x
_atom_site_fract_y
_atom_site_fract_z
_atom_site_occupancy
Ni1 Ni 0.0000 0.0000 0.0000 1
Hg1 Hg 0.2500 0.2500 0.2500 1
Mo1 Mo 0.0000 0.0000 0.5000 1
# - Uncorrected energy: -3.658 eV/atom
# - Total magnetization: 8.675 Bohr magnetons per cell
# - Relative energy among the computed polymorphs: 1.46 eV/f.u.

---

# SnHOs2, optimized geometry, DFT GGA-PBE
data_SnHOs2
_chemical_formula_sum 'Sn4 H4 Os8'
_symmetry_space_group_name_H-M 'I -4 2 d'
_symmetry_Int_Tables_number 122
_symmetry_space_group_name_Hall 'I -4 2bw'
_cell_length_a 5.4841
_cell_length_b 5.4841
_cell_length_c 7.4921
_cell_angle_alpha 90.00
_cell_angle_beta 90.00
_cell_angle_gamma 90.00
loop_
_atom_site_label
_atom_site_type_symbol
_atom_site_fract_x
_atom_site_fract_y
_atom_site_fract_z
_atom_site_occupancy
Sn1 Sn 0.0000 0.0000 0.0000 1
H1 H 0.0000 0.0000 0.5000 1
Os1 Os 0.0997 0.2500 0.6250 1
# - Uncorrected energy: -6.774 eV/atom
# - Total magnetization: 0.000 Bohr magnetons per cell
# - Relative energy among the computed polymorphs: 1.35 eV/f.u.

---

# Ba2ZrRu, optimized geometry, DFT GGA-PBE
data_Ba2ZrRu
_chemical_formula_sum 'Ba2 Zr1 Ru1'
_symmetry_space_group_name_H-M 'P 4 m m'
_symmetry_Int_Tables_number 99
_symmetry_space_group_name_Hall 'P 4 -2'
_cell_length_a 3.6425
_cell_length_b 3.6425
_cell_length_c 10.2394
_cell_angle_alpha 90.00
_cell_angle_beta 90.00
_cell_angle_gamma 90.00
loop_
_atom_site_label
_atom_site_type_symbol
_atom_site_fract_x
_atom_site_fract_y
_atom_site_fract_z
_atom_site_occupancy
Ba1 Ba 0.0000 0.0000 0.0000 1
Ba2 Ba 0.5000 0.5000 0.3898 1
Zr1 Zr 0.5000 0.5000 0.7195 1
Ru1 Ru 0.0000 0.0000 0.6349 1
# - Uncorrected energy: -5.260 eV/atom
# - Total magnetization: 0.000 Bohr magnetons per cell
# - Relative energy among the computed polymorphs: 0.22 eV/f.u.

---

# Tb2HS, optimized geometry, DFT GGA-PBE
data_Tb2HS
_chemical_formula_sum 'Tb6 H3 S3'
_symmetry_space_group_name_H-M 'R -3 m'
_symmetry_Int_Tables_number 166
_symmetry_space_group_name_Hall '-R 3 2"'
_cell_length_a 3.7620
_cell_length_b 3.7620
_cell_length_c 18.5035
_cell_angle_alpha 90.00
_cell_angle_beta 90.00
_cell_angle_gamma 120.00
loop_
_atom_site_label
_atom_site_type_symbol
_atom_site_fract_x
_atom_site_fract_y
_atom_site_fract_z
_atom_site_occupancy
Tb1 Tb 0.0000 0.0000 0.2453 1
H1 H 0.0000 0.0000 0.5000 1
S1 S 0.0000 0.0000 0.0000 1
# - Uncorrected energy: -5.306 eV/atom
# - Total magnetization: 0.815 Bohr magnetons per cell
# - Relative energy among the computed polymorphs: 0.00 eV/f.u.

---

# Zn2CdAs, optimized geometry, DFT GGA-PBE
data_Zn2CdAs
_chemical_formula_sum 'Zn4 Cd2 As2'
_symmetry_space_group_name_H-M 'I -4 m 2'
_symmetry_Int_Tables_number 119
_symmetry_space_group_name_Hall 'I -4 -2'
_cell_length_a 4.0688
_cell_length_b 4.0688
_cell_length_c 9.0184
_cell_angle_alpha 90.00
_cell_angle_beta 90.00
_cell_angle_gamma 90.00
loop_
_atom_site_label
_atom_site_type_symbol
_atom_site_fract_x
_atom_site_fract_y
_atom_site_fract_z
_atom_site_occupancy
Zn1 Zn 0.0000 0.0000 0.0000 1
Zn2 Zn 0.0000 0.5000 0.2500 1
Cd1 Cd 0.0000 0.0000 0.5000 1
As1 As 0.0000 0.5000 0.7500 1
# - Uncorrected energy: -1.877 eV/atom
# - Total magnetization: 0.000 Bohr magnetons per cell
# - Relative energy among the computed polymorphs: 0.30 eV/f.u.

---

# RbCdAg2Pt, optimized geometry, DFT GGA-PBE
data_RbCdAg2Pt
_chemical_formula_sum 'Rb1 Cd1 Ag2 Pt1'
_symmetry_space_group_name_H-M 'P 4/m m m'
_symmetry_Int_Tables_number 123
_symmetry_space_group_name_Hall '-P 4 2'
_cell_length_a 5.3316
_cell_length_b 5.3316
_cell_length_c 5.2193
_cell_angle_alpha 90.00
_cell_angle_beta 90.00
_cell_angle_gamma 90.00
loop_
_atom_site_label
_atom_site_type_symbol
_atom_site_fract_x
_atom_site_fract_y
_atom_site_fract_z
_atom_site_occupancy
Rb1 Rb 0.0000 0.0000 0.0000 1
Cd1 Cd 0.5000 0.5000 0.0000 1
Ag1 Ag 0.0000 0.5000 0.5000 1
Pt1 Pt 0.5000 0.5000 0.5000 1
# - Uncorrected energy: -2.652 eV/atom
# - Total magnetization: 0.000 Bohr magnetons per cell

---

# TcHg3Os, optimized geometry, DFT GGA-PBE
data_TcHg3Os
_chemical_formula_sum 'Tc1 Hg3 Os1'
_symmetry_space_group_name_H-M 'P m -3 m'
_symmetry_Int_Tables_number 221
_symmetry_space_group_name_Hall '-P 4 2 3'
_cell_length_a 5.1891
_cell_length_b 5.1891
_cell_length_c 5.1891
_cell_angle_alpha 90.00
_cell_angle_beta 90.00
_cell_angle_gamma 90.00
loop_
_atom_site_label
_atom_site_type_symbol
_atom_site_fract_x
_atom_site_fract_y
_atom_site_fract_z
_atom_site_occupancy
Tc1 Tc 0.0000 0.0000 0.0000 1
Hg1 Hg 0.0000 0.5000 0.5000 1
Os1 Os 0.5000 0.5000 0.5000 1
# - Uncorrected energy: -2.909 eV/atom
# - Total magnetization: 5.107 Bohr magnetons per cell
# - Relative energy among the computed polymorphs: 0.00 eV/f.u.